1.
! NaTaTeN2 (PBEsol, optimized geometry); values from VASP
&SYSTEM
  ibrav = 0, nat = 5, ntyp = 4
/
ATOMIC_SPECIES
Na 22.99 Na.upf
Ta 180.95 Ta.upf
Te 127.60 Te.upf
N 14.01 N.upf
CELL_PARAMETERS angstrom
4.1215 0.0000 0.0000
0.0000 4.1215 0.0000
0.0000 0.0000 5.1688
ATOMIC_POSITIONS angstrom
Na 0.0000 0.0000 0.0000
Ta 2.0607 2.0607 2.5844
Te 0.0000 0.0000 2.5844
N 0.0000 2.0607 0.0000
N 2.0607 0.0000 0.0000
! * SG: P4/mmm, No. 123
! * formation energy (no corrections): 10.96 eV/f.u.
! * D(E_F): 3.17 states/eV/f.u.
! * theoretical density: 6800 kg/m3

---

2.
! NaTcN2 (PBEsol, optimized geometry); values from VASP
&SYSTEM
  ibrav = 0, nat = 8, ntyp = 3
/
ATOMIC_SPECIES
Na 22.99 Na.upf
Tc 98.00 Tc.upf
N 14.01 N.upf
CELL_PARAMETERS angstrom
-2.5357 2.5357 4.5470
2.5357 -2.5357 4.5470
2.5357 2.5357 -4.5470
ATOMIC_POSITIONS angstrom
Na 0.0000 0.0000 0.0000
Na 0.0000 2.5357 2.2735
Tc 2.5357 0.0000 2.2735
Tc 0.0000 0.0000 4.5470
N 1.2679 -0.7397 3.4102
N 1.7960 1.2679 1.1367
N 1.2679 3.2754 -1.1367
N 0.7397 1.2679 5.6837
! * SG: I-42d, No. 122
! * formation energy (no corrections): -0.92 eV/f.u.
! * D(E_F): 2.06 states/eV/f.u.
! * theoretical density: 4231 kg/m3

---

3.
! NaTc2N2 (PBEsol, optimized geometry); values from VASP
&SYSTEM
  ibrav = 0, nat = 5, ntyp = 3
/
ATOMIC_SPECIES
Na 22.99 Na.upf
Tc 98.00 Tc.upf
N 14.01 N.upf
CELL_PARAMETERS angstrom
-1.9515 1.9515 3.8063
1.9515 -1.9515 3.8063
1.9515 1.9515 -3.8063
ATOMIC_POSITIONS angstrom
Na 0.0000 0.0000 0.0000
Tc 0.0000 0.0000 2.6948
Tc 0.0000 0.0000 4.9178
N 1.9515 0.0000 1.9032
N 0.0000 1.9515 1.9032
! * SG: I4/mmm, No. 139
! * formation energy (no corrections): 1.01 eV/f.u.
! * D(E_F): 3.27 states/eV/f.u.
! * theoretical density: 7073 kg/m3

---

4.
! NaTe2N (PBEsol, optimized geometry); values from VASP
&SYSTEM
  ibrav = 0, nat = 4, ntyp = 3
/
ATOMIC_SPECIES
Na 22.99 Na.upf
Te 127.60 Te.upf
N 14.01 N.upf
CELL_PARAMETERS angstrom
2.5895 1.4951 6.0891
-2.5895 1.4951 6.0891
0.0000 -2.9901 6.0891
ATOMIC_POSITIONS angstrom
Na 0.0000 0.0000 0.0000
Te 0.0000 0.0000 7.2105
Te 0.0000 0.0000 11.0567
N 0.0000 0.0000 9.1336
! * SG: R-3m, No. 166
! * formation energy (no corrections): 1.81 eV/f.u.
! * D(E_F): 1.57 states/eV/f.u.
! * theoretical density: 3430 kg/m3

---

5.
! NaZnTe2N (PBEsol, optimized geometry); values from VASP
&SYSTEM
  ibrav = 0, nat = 5, ntyp = 4
/
ATOMIC_SPECIES
Na 22.99 Na.upf
Zn 65.41 Zn.upf
Te 127.60 Te.upf
N 14.01 N.upf
CELL_PARAMETERS angstrom
5.7619 0.0000 0.0000
0.0000 5.7619 0.0000
0.0000 0.0000 3.5258
ATOMIC_POSITIONS angstrom
Na 0.0000 0.0000 0.0000
Zn 2.8809 2.8809 1.7629
Te 0.0000 2.8809 1.7629
Te 2.8809 0.0000 1.7629
N 2.8809 2.8809 0.0000
! * SG: P4/mmm, No. 123
! * formation energy (no corrections): 1.99 eV/f.u.
! * D(E_F): 4.50 states/eV/f.u.
! * theoretical density: 5073 kg/m3

---

6.
! NaZrTe2N (PBEsol, optimized geometry); values from VASP
&SYSTEM
  ibrav = 0, nat = 5, ntyp = 4
/
ATOMIC_SPECIES
Na 22.99 Na.upf
Zr 91.22 Zr.upf
Te 127.60 Te.upf
N 14.01 N.upf
CELL_PARAMETERS angstrom
5.3535 0.0000 0.0000
0.0000 5.3535 0.0000
0.0000 0.0000 4.0162
ATOMIC_POSITIONS angstrom
Na 0.0000 0.0000 0.0000
Zr 2.6767 2.6767 2.0081
Te 0.0000 2.6767 0.0000
Te 2.6767 0.0000 0.0000
N 0.0000 0.0000 2.0081
! * SG: P4/mmm, No. 123
! * formation energy (no corrections): 4.74 eV/f.u.
! * D(E_F): 3.66 states/eV/f.u.
! * theoretical density: 5531 kg/m3

---

Repeat the fourth record exactly.
! NaTe2N (PBEsol, optimized geometry); values from VASP
&SYSTEM
  ibrav = 0, nat = 4, ntyp = 3
/
ATOMIC_SPECIES
Na 22.99 Na.upf
Te 127.60 Te.upf
N 14.01 N.upf
CELL_PARAMETERS angstrom
2.5895 1.4951 6.0891
-2.5895 1.4951 6.0891
0.0000 -2.9901 6.0891
ATOMIC_POSITIONS angstrom
Na 0.0000 0.0000 0.0000
Te 0.0000 0.0000 7.2105
Te 0.0000 0.0000 11.0567
N 0.0000 0.0000 9.1336
! * SG: R-3m, No. 166
! * formation energy (no corrections): 1.81 eV/f.u.
! * D(E_F): 1.57 states/eV/f.u.
! * theoretical density: 3430 kg/m3